Entry 1:
Below is a relaxed CdNiHgB crystal, with properties calculated at the PBE level.

## Properties
The uncorrected energy comes out at -2.393 eV/atom. The value obtained for the total moment is 0.0003 μB/atom.

The structure in CIF format:
```
data_CdNiHgB
_chemical_formula_sum 'Cd1 Ni1 Hg1 B1'
_space_group_name_H-M_alt 'P 1'
_space_group_IT_number 1
_cell_length_a 4.450
_cell_length_b 4.450
_cell_length_c 4.450
_cell_angle_alpha 60.00
_cell_angle_beta 60.00
_cell_angle_gamma 60.00
loop_
_space_group_symop_operation_xyz
'x,y,z'
loop_
_atom_site_label
_atom_site_type_symbol
_atom_site_fract_x
_atom_site_fract_y
_atom_site_fract_z
_atom_site_occupancy
B1 B 0.000 0.000 0.000 1
Cd1 Cd 0.500 0.500 0.500 1
Hg1 Hg 0.250 0.250 0.250 1
Ni1 Ni 0.750 0.750 0.750 1
```

Entry 2:
Below is a relaxed TbSmSi3Au crystal, with properties calculated at the PBE level.

## Properties
The uncorrected energy comes out at -5.605 eV/atom. The value obtained for the total moment is 0.0008 μB/atom.

The structure in CIF format:
```
data_TbSmSi3Au
_chemical_formula_sum 'Tb2 Sm2 Si6 Au2'
_space_group_name_H-M_alt 'P 1'
_space_group_IT_number 1
_cell_length_a 8.273
_cell_length_b 8.241
_cell_length_c 5.855
_cell_angle_alpha 69.53
_cell_angle_beta 68.94
_cell_angle_gamma 41.53
loop_
_space_group_symop_operation_xyz
'x,y,z'
loop_
_atom_site_label
_atom_site_type_symbol
_atom_site_fract_x
_atom_site_fract_y
_atom_site_fract_z
_atom_site_occupancy
Au1 Au 0.832 0.832 0.168 1
Au2 Au 0.168 0.168 0.832 1
Si1 Si 0.829 0.336 0.171 1
Si2 Si 0.664 0.171 0.336 1
Si3 Si 0.664 0.664 0.336 1
Si4 Si 0.336 0.336 0.664 1
Si5 Si 0.336 0.829 0.664 1
Si6 Si 0.171 0.664 0.829 1
Sm1 Sm 0.257 0.743 0.257 1
Sm2 Sm 0.743 0.257 0.743 1
Tb1 Tb 0.250 0.250 0.250 1
Tb2 Tb 0.750 0.750 0.750 1
```

Entry 3:
Below is a relaxed Zr2BePd crystal, with properties calculated at the PBE level.

## Properties
The uncorrected energy comes out at -6.467 eV/atom. The value obtained for the total moment is 0.5005 μB/atom.

The structure in CIF format:
```
data_Zr2BePd
_chemical_formula_sum 'Zr2 Be1 Pd1'
_space_group_name_H-M_alt 'P 1'
_space_group_IT_number 1
_cell_length_a 4.578
_cell_length_b 4.578
_cell_length_c 4.578
_cell_angle_alpha 60.00
_cell_angle_beta 60.00
_cell_angle_gamma 60.00
loop_
_space_group_symop_operation_xyz
'x,y,z'
loop_
_atom_site_label
_atom_site_type_symbol
_atom_site_fract_x
_atom_site_fract_y
_atom_site_fract_z
_atom_site_occupancy
Be1 Be 0.500 0.500 0.500 1
Pd1 Pd 0.250 0.250 0.250 1
Zr1 Zr 0.000 0.000 0.000 1
Zr2 Zr 0.750 0.750 0.750 1
```

Copy entry 2 word for word.
Below is a relaxed TbSmSi3Au crystal, with properties calculated at the PBE level.

## Properties
The uncorrected energy comes out at -5.605 eV/atom. The value obtained for the total moment is 0.0008 μB/atom.

The structure in CIF format:
```
data_TbSmSi3Au
_chemical_formula_sum 'Tb2 Sm2 Si6 Au2'
_space_group_name_H-M_alt 'P 1'
_space_group_IT_number 1
_cell_length_a 8.273
_cell_length_b 8.241
_cell_length_c 5.855
_cell_angle_alpha 69.53
_cell_angle_beta 68.94
_cell_angle_gamma 41.53
loop_
_space_group_symop_operation_xyz
'x,y,z'
loop_
_atom_site_label
_atom_site_type_symbol
_atom_site_fract_x
_atom_site_fract_y
_atom_site_fract_z
_atom_site_occupancy
Au1 Au 0.832 0.832 0.168 1
Au2 Au 0.168 0.168 0.832 1
Si1 Si 0.829 0.336 0.171 1
Si2 Si 0.664 0.171 0.336 1
Si3 Si 0.664 0.664 0.336 1
Si4 Si 0.336 0.336 0.664 1
Si5 Si 0.336 0.829 0.664 1
Si6 Si 0.171 0.664 0.829 1
Sm1 Sm 0.257 0.743 0.257 1
Sm2 Sm 0.743 0.257 0.743 1
Tb1 Tb 0.250 0.250 0.250 1
Tb2 Tb 0.750 0.750 0.750 1
```

Repeat the third record exactly.
Below is a relaxed Zr2BePd crystal, with properties calculated at the PBE level.

## Properties
The uncorrected energy comes out at -6.467 eV/atom. The value obtained for the total moment is 0.5005 μB/atom.

The structure in CIF format:
```
data_Zr2BePd
_chemical_formula_sum 'Zr2 Be1 Pd1'
_space_group_name_H-M_alt 'P 1'
_space_group_IT_number 1
_cell_length_a 4.578
_cell_length_b 4.578
_cell_length_c 4.578
_cell_angle_alpha 60.00
_cell_angle_beta 60.00
_cell_angle_gamma 60.00
loop_
_space_group_symop_operation_xyz
'x,y,z'
loop_
_atom_site_label
_atom_site_type_symbol
_atom_site_fract_x
_atom_site_fract_y
_atom_site_fract_z
_atom_site_occupancy
Be1 Be 0.500 0.500 0.500 1
Pd1 Pd 0.250 0.250 0.250 1
Zr1 Zr 0.000 0.000 0.000 1
Zr2 Zr 0.750 0.750 0.750 1
```

Among the records above, which one has the lowest uncorrected energy?
Zr2BePd

Which value of total moment does entry 3 give?
0.5005 μB/atom